Entry from Alexandria: Hf2Sn2Ir after structural relaxation (GGA-PBE).

POSCAR file:
```
Hf2Sn2Ir
1.0
6.834 0.000 0.000
0.000 6.834 0.000
0.000 0.000 4.451
Hf Sn Ir
4 4 2
Direct
0.162 0.338 0.000
0.338 0.838 0.000
0.662 0.162 0.000
0.838 0.662 0.000
0.145 0.645 0.500
0.355 0.145 0.500
0.645 0.855 0.500
0.855 0.355 0.500
0.000 0.000 0.500
0.500 0.500 0.500
```

Calculated values
Crystal system = tetragonal
Energy of formation from the pure elements = -1.3 eV per formula unit
E_tot = -0.2799 hartree per atom
Space-group type = P4/mbm

---

Entry from Alexandria: HfAl2Ga after structural relaxation (GGA-PBE).

POSCAR file:
```
HfAl2Ga
1.0
4.000 0.000 0.000
-2.000 3.464 0.000
0.000 0.000 17.567
Hf Al Ga
3 6 3
Direct
0.000 0.000 0.000
0.333 0.667 0.667
0.667 0.333 0.333
0.000 0.000 0.427
0.000 0.000 0.576
0.333 0.667 0.093
0.333 0.667 0.243
0.667 0.333 0.760
0.667 0.333 0.909
0.000 0.000 0.173
0.333 0.667 0.839
0.667 0.333 0.506
```

Calculated values
Crystal system = trigonal
Energy of formation from the pure elements = 0.4 eV per formula unit
E_tot = -0.1839 hartree per atom
Space-group type = R3m

---

Entry from Alexandria: TiPtAu3 after structural relaxation (GGA-PBE).

POSCAR file:
```
TiPtAu3
1.0
5.015 0.000 0.000
0.000 5.015 0.000
0.000 0.000 5.015
Ti Pt Au
1 1 3
Direct
0.000 0.000 0.000
0.500 0.500 0.500
0.000 0.500 0.500
0.500 0.000 0.500
0.500 0.500 0.000
```

Calculated values
Relative energy among the computed polymorphs = 0 meV/atom
Crystal system = cubic
Energy of formation from the pure elements = 4.8 eV per formula unit
E_tot = -0.1396 hartree per atom
Space-group type = Pm-3m

---

Entry from Alexandria: Tb2PmMg9 after structural relaxation (GGA-PBE).

POSCAR file:
```
Tb2PmMg9
1.0
3.025 1.746 9.782
-3.025 1.746 9.782
0.000 -3.493 9.782
Tb Pm Mg
2 1 9
Direct
0.143 0.143 0.143
0.857 0.857 0.857
0.000 0.000 0.000
0.080 0.587 0.587
0.334 0.334 0.334
0.413 0.413 0.920
0.413 0.920 0.413
0.500 0.500 0.500
0.587 0.080 0.587
0.587 0.587 0.080
0.666 0.666 0.666
0.920 0.413 0.413
```

Calculated values
Crystal system = trigonal
Energy of formation from the pure elements = -0.6 eV per formula unit
E_tot = -0.0887 hartree per atom
Space-group type = R-3m